Density functional theory data (PBE) for a relaxed structure of Ir2Au.

a = 2.770 Å, b = 14.812 Å, c = 4.599 Å
α = 90.00°, β = 90.00°, γ = 90.00°
Space group Cmcm (No. 63)
One atom of each set of equivalent atoms:
Ir  0.000  0.053  0.250
Ir  0.000  0.400  0.250
Au  0.000  0.281  0.750

## Properties
M_tot	0.00	μB/atom
offset from the most stable computed form	0.0564	eV/atom
energy of formation from the pure elements	0.28	eV/atom

Density functional theory data (PBE) for a relaxed structure of BaAc2AlO5.

a = 7.162 Å, b = 7.162 Å, c = 11.553 Å
α = 90.00°, β = 90.00°, γ = 90.00°
Space group I4/mcm (No. 140)
One atom of each set of equivalent atoms:
Ba  0.000  0.000  0.250
Ac  0.176  0.324  0.000
Al  0.000  0.500  0.250
O  0.000  0.000  0.000
O  0.135  0.365  0.351

## Properties
E_form (uncorrected)	-2883	meV/atom
M_tot	0.00	μB/atom

Density functional theory data (PBE) for a relaxed structure of OsWBr2.

a = 5.663 Å, b = 5.663 Å, c = 11.152 Å
α = 90.00°, β = 90.00°, γ = 90.00°
Space group I-42d (No. 122)
One atom of each set of equivalent atoms:
Os  0.000  0.000  0.000
W  0.000  0.000  0.500
Br  0.247  0.250  0.125

## Properties
E_form (uncorrected)	1877	meV/atom
M_tot	0.00	μB/atom
offset from the most stable computed form	1.6684	eV/atom

Density functional theory data (PBE) for a relaxed structure of Pa2TaRhN6.

a = 5.490 Å, b = 5.490 Å, c = 4.775 Å
α = 90.00°, β = 90.00°, γ = 90.00°
Space group P4mm (No. 99)
One atom of each set of equivalent atoms:
Pa  0.000  0.500  0.000
Ta  0.000  0.000  0.594
Rh  0.500  0.500  0.729
N  0.000  0.000  0.201
N  0.242  0.242  0.753
N  0.500  0.500  0.153

## Properties
E_form (uncorrected)	-774	meV/atom
M_tot	0.00	μB/atom

Density functional theory data (PBE) for a relaxed structure of MnPtN2.

a = 5.172 Å, b = 6.152 Å, c = 5.579 Å
α = 90.00°, β = 90.00°, γ = 90.00°
Space group Pna2_1 (No. 33)
One atom of each set of equivalent atoms:
Mn  0.077  0.101  0.000
Pt  0.122  0.652  0.071
N  0.078  0.118  0.329
N  0.079  0.634  0.442

## Properties
E_form (uncorrected)	231	meV/atom
M_tot	0.23	μB/atom
offset from the most stable computed form	0.1434	eV/atom

Density functional theory data (PBE) for a relaxed structure of CoW3.

a = 2.7588 Å, b = 2.7588 Å, c = 27.6174 Å
α = 90.00°, β = 90.00°, γ = 120.00°
Space group R-3m (No. 166, hexagonal axes)
One atom of each set of equivalent atoms:
Co  0.0000  0.0000  0.0000
W  0.0000  0.0000  0.2567
W  0.0000  0.0000  0.5000

## Properties
M_tot	0.21	μB/atom
offset from the most stable computed form	0.2824	eV/atom
energy of formation from the pure elements	0.37	eV/atom

Density functional theory data (PBE) for a relaxed structure of ScTlP2S.

a = 5.002 Å, b = 5.002 Å, c = 5.059 Å
α = 90.00°, β = 90.00°, γ = 90.00°
Space group P4/mmm (No. 123)
One atom of each set of equivalent atoms:
Sc  0.000  0.000  0.000
Tl  0.500  0.500  0.500
P  0.000  0.500  0.500
S  0.500  0.500  0.000

## Properties
E_form (uncorrected)	787	meV/atom
M_tot	0.00	μB/atom
offset from the most stable computed form	0.7949	eV/atom

Density functional theory data (PBE) for a relaxed structure of HoHg7.

a = 4.564 Å, b = 4.564 Å, c = 19.004 Å
α = 90.00°, β = 90.00°, γ = 90.00°
Space group I4/mmm (No. 139)
One atom of each set of equivalent atoms:
Ho  0.000  0.000  0.000
Hg  0.000  0.000  0.251
Hg  0.000  0.000  0.500
Hg  0.000  0.500  0.123

## Properties
M_tot	0.00	μB/atom
offset from the most stable computed form	0.0000	eV/atom
energy of formation from the pure elements	-0.13	eV/atom

Density functional theory data (PBE) for a relaxed structure of Ag2WAu.

a = 5.852 Å, b = 8.788 Å, c = 2.704 Å
α = 90.00°, β = 90.00°, γ = 90.00°
Space group Cmmm (No. 65)
One atom of each set of equivalent atoms:
Ag  0.250  0.250  0.000
W  0.000  0.000  0.500
Au  0.000  0.500  0.500

## Properties
M_tot	0.00	μB/atom
offset from the most stable computed form	0.2749	eV/atom
energy of formation from the pure elements	0.60	eV/atom

Density functional theory data (PBE) for a relaxed structure of La2PdRhC.

a = 5.314 Å, b = 5.314 Å, c = 3.878 Å
α = 90.00°, β = 90.00°, γ = 90.00°
Space group P4/mmm (No. 123)
One atom of each set of equivalent atoms:
La  0.000  0.500  0.000
Pd  0.000  0.000  0.500
Rh  0.500  0.500  0.500
C  0.500  0.500  0.000

## Properties
M_tot	0.00	μB/atom
energy of formation from the pure elements	-0.51	eV/atom

Density functional theory data (PBE) for a relaxed structure of CaHfBr2.

a = 7.074 Å, b = 7.074 Å, c = 7.074 Å
α = 90.00°, β = 90.00°, γ = 90.00°
Space group Fm-3m (No. 225)
One atom of each set of equivalent atoms:
Ca  0.000  0.000  0.000
Hf  0.000  0.000  0.500
Br  0.250  0.250  0.250

## Properties
E_form (uncorrected)	-295	meV/atom
M_tot	0.00	μB/atom
offset from the most stable computed form	0.3187	eV/atom

Density functional theory data (PBE) for a relaxed structure of PdAuO3.

a = 5.563 Å, b = 10.050 Å, c = 4.857 Å
α = 90.00°, β = 109.42°, γ = 90.00°
Space group C2/m (No. 12)
One atom of each set of equivalent atoms:
Pd  0.000  0.167  0.000
Au  0.162  0.500  0.276
O  0.194  0.000  0.238
O  0.250  0.194  0.762

## Properties
E_form (uncorrected)	-20	meV/atom
M_tot	0.00	μB/atom

Density functional theory data (PBE) for a relaxed structure of LaNd4Ho2.

a = 4.637 Å, b = 4.637 Å, c = 22.986 Å
α = 90.00°, β = 90.00°, γ = 90.00°
Space group I4/mmm (No. 139)
One atom of each set of equivalent atoms:
La  0.000  0.000  0.000
Nd  0.000  0.000  0.138
Nd  0.000  0.500  0.250
Ho  0.000  0.000  0.401

## Properties
M_tot	0.00	μB/atom
offset from the most stable computed form	0.1848	eV/atom
energy of formation from the pure elements	0.25	eV/atom

Density functional theory data (PBE) for a relaxed structure of Pr12DyIn3.

a = 5.039 Å, b = 5.039 Å, c = 20.523 Å
α = 90.00°, β = 90.00°, γ = 90.00°
Space group P4/mmm (No. 123)
One atom of each set of equivalent atoms:
Pr  0.000  0.000  0.000
Pr  0.000  0.000  0.246
Pr  0.000  0.000  0.500
Pr  0.000  0.500  0.123
Pr  0.000  0.500  0.369
Dy  0.500  0.500  0.500
In  0.500  0.500  0.000
In  0.500  0.500  0.245

## Properties
M_tot	0.00	μB/atom
energy of formation from the pure elements	-0.20	eV/atom

Density functional theory data (PBE) for a relaxed structure of LiGa2AgTe4.

a = 6.135 Å, b = 6.135 Å, c = 13.139 Å
α = 90.00°, β = 90.00°, γ = 90.00°
Space group I-42m (No. 121)
One atom of each set of equivalent atoms:
Li  0.000  0.000  0.000
Ga  0.000  0.500  0.250
Ag  0.000  0.000  0.500
Te  0.245  0.245  0.870

## Properties
E_form (uncorrected)	-431	meV/atom
M_tot	0.00	μB/atom

Density functional theory data (PBE) for a relaxed structure of AcCdRhAu.

a = 7.208 Å, b = 7.208 Å, c = 7.208 Å
α = 90.00°, β = 90.00°, γ = 90.00°
Space group F-43m (No. 216)
One atom of each set of equivalent atoms:
Ac  0.000  0.000  0.000
Cd  0.000  0.000  0.500
Rh  0.250  0.250  0.250
Au  0.250  0.250  0.750

## Properties
M_tot	0.00	μB/atom
energy of formation from the pure elements	-0.40	eV/atom

Density functional theory data (PBE) for a relaxed structure of RePCl2.

a = 5.709 Å, b = 3.296 Å, c = 8.787 Å
α = 90.00°, β = 91.32°, γ = 90.00°
Space group Cm (No. 8)
One atom of each set of equivalent atoms:
Re  0.000  0.000  0.000
P  0.161  0.500  0.850
Cl  0.153  0.500  0.619
Cl  0.341  0.000  0.213

## Properties
E_form (uncorrected)	-282	meV/atom
M_tot	0.00	μB/atom
offset from the most stable computed form	0.0000	eV/atom

Density functional theory data (PBE) for a relaxed structure of SrGeSN2.

a = 4.730 Å, b = 4.730 Å, c = 5.810 Å
α = 90.00°, β = 90.00°, γ = 90.00°
Space group P4/mmm (No. 123)
One atom of each set of equivalent atoms:
Sr  0.000  0.000  0.000
Ge  0.500  0.500  0.500
S  0.000  0.000  0.500
N  0.000  0.500  0.000

## Properties
E_form (uncorrected)	1458	meV/atom
M_tot	0.80	μB/atom
offset from the most stable computed form	1.2721	eV/atom

Density functional theory data (PBE) for a relaxed structure of PuCdInBi.

a = 7.669 Å, b = 7.669 Å, c = 7.669 Å
α = 90.00°, β = 90.00°, γ = 90.00°
Space group F-43m (No. 216)
One atom of each set of equivalent atoms:
Pu  0.000  0.000  0.000
Cd  0.250  0.250  0.250
In  0.000  0.000  0.500
Bi  0.250  0.250  0.750

## Properties
M_tot	1.47	μB/atom
offset from the most stable computed form	0.2043	eV/atom
energy of formation from the pure elements	-0.04	eV/atom

Density functional theory data (PBE) for a relaxed structure of ErScHg4.

a = 3.802 Å, b = 5.097 Å, c = 7.459 Å
α = 90.00°, β = 104.81°, γ = 90.00°
Space group Pm (No. 6)
One atom of each set of equivalent atoms:
Er  0.000  0.000  0.000
Sc  0.796  0.500  0.587
Hg  0.133  0.500  0.263
Hg  0.330  0.000  0.661
Hg  0.460  0.500  0.915
Hg  0.668  0.000  0.335

## Properties
M_tot	0.00	μB/atom
offset from the most stable computed form	0.0000	eV/atom
energy of formation from the pure elements	-0.33	eV/atom